(1)
Na4Sc3AlTe8: relaxed, PBE.

Unit cell a=8.4343 b=8.4343 c=22.5932 alpha=90.00 beta=90.00 gamma=120.00
Space group R-3m (No. 166, hexagonal axes)
Inequivalent atoms, fractional coordinates:
Na: 0.0000 0.0000 0.0000
Na: 0.0000 0.5000 0.0000
Sc: 0.0000 0.5000 0.5000
Al: 0.0000 0.0000 0.5000
Te: 0.0000 0.0000 0.2403
Te: 0.0095 0.5047 0.2382

Computed properties:
Energy relative to the elements, uncorrected = -1031 meV/atom


(2)
Na3Sc3AlTe8: relaxed, PBE.

Unit cell a=14.277 b=8.225 c=9.140 alpha=90.00 beta=121.40 gamma=90.00
Space group C2/m (No. 12)
Inequivalent atoms, fractional coordinates:
Na: 0.000 0.000 0.000
Na: 0.250 0.250 0.000
Sc: 0.000 0.500 0.500
Sc: 0.250 0.250 0.500
Al: 0.000 0.000 0.500
Te: 0.010 0.244 0.287
Te: 0.234 0.000 0.713
Te: 0.240 0.500 0.721

Computed properties:
Energy relative to the elements, uncorrected = -977 meV/atom


(3)
NaScTiAl2: relaxed, PBE.

Unit cell a=5.315 b=5.315 c=4.609 alpha=90.00 beta=90.00 gamma=90.00
Space group P4/mmm (No. 123)
Inequivalent atoms, fractional coordinates:
Na: 0.000 0.000 0.000
Sc: 0.500 0.500 0.500
Ti: 0.500 0.500 0.000
Al: 0.000 0.500 0.500

Computed properties:
Formation energy = 0.805 eV per atom


(4)
NaScAlTl: relaxed, PBE.

Unit cell a=7.141 b=7.141 c=7.141 alpha=90.00 beta=90.00 gamma=90.00
Space group F-43m (No. 216)
Inequivalent atoms, fractional coordinates:
Na: 0.000 0.000 0.000
Sc: 0.000 0.000 0.500
Al: 0.250 0.250 0.750
Tl: 0.250 0.250 0.250

Computed properties:
Formation energy = -0.045 eV per atom


(5)
Na2ScAlV: relaxed, PBE.

Unit cell a=5.160 b=5.160 c=5.074 alpha=90.00 beta=90.00 gamma=90.00
Space group P4/mmm (No. 123)
Inequivalent atoms, fractional coordinates:
Na: 0.000 0.500 0.000
Sc: 0.000 0.000 0.500
Al: 0.500 0.500 0.500
V: 0.500 0.500 0.000

Computed properties:
Formation energy = 0.996 eV per atom


(6)
NaScAl2Zn: relaxed, PBE.

Unit cell a=5.344 b=5.344 c=5.957 alpha=90.00 beta=90.00 gamma=90.00
Space group P4/mmm (No. 123)
Inequivalent atoms, fractional coordinates:
Na: 0.000 0.000 0.000
Sc: 0.000 0.000 0.500
Al: 0.000 0.500 0.500
Zn: 0.500 0.500 0.000

Computed properties:
Formation energy = 0.995 eV per atom


(7)
NaAl2Se2: relaxed, PBE.

Unit cell a=5.006 b=5.006 c=8.897 alpha=90.00 beta=90.00 gamma=90.00
Space group I4/mmm (No. 139)
Inequivalent atoms, fractional coordinates:
Na: 0.000 0.000 0.000
Al: 0.000 0.000 0.352
Se: 0.000 0.500 0.250

Computed properties:
Energy relative to the elements, uncorrected = -538 meV/atom


(8)
NaAlSe2: relaxed, PBE.

Unit cell a=4.1067 b=4.1067 c=22.9697 alpha=90.00 beta=90.00 gamma=120.00
Space group R3m (No. 160, hexagonal axes)
Inequivalent atoms, fractional coordinates:
Na: 0.0000 0.0000 0.0000
Al: 0.0000 0.0000 0.5111
Se: 0.0000 0.0000 0.1318
Se: 0.0000 0.0000 0.6087

Computed properties:
Energy relative to the elements, uncorrected = -825 meV/atom


| no. | magnetization (μB per atom) | N(E_F) (states/eV/f.u.) | ρ (g/cm3) |
| --- | --- | --- | --- |
| 1 | 0.000 | 1.31 | 4.6 |
| 2 | 0.000 | 4.58 | 4.5 |
| 3 | 0.000 | 5.28 | 2.2 |
| 4 | 0.000 | 2.06 | 5.5 |
| 5 | 0.680 | 4.63 | 2.1 |
| 6 | 0.134 | 7.58 | 1.8 |
| 7 | 0.000 | 1.26 | 3.5 |
| 8 | 0.000 | 0.83 | 3.1 |